# CoSb2Pb, optimized geometry, DFT PBE-GGA
# - Formation energy (no corrections): 0.21 eV/atom
# - Final energy: -4.556 eV per atom
# - DOS at the Fermi energy: 2.46 states/eV/f.u.
data_CoSb2Pb
_chemical_formula_sum 'Co1 Sb2 Pb1'
_space_group_name_H-M_alt 'P 4 m m'
_space_group_IT_number 99
_space_group_name_Hall 'P 4 -2'
_cell_length_a 3.208
_cell_length_b 3.208
_cell_length_c 9.181
_cell_angle_alpha 90.00
_cell_angle_beta 90.00
_cell_angle_gamma 90.00
loop_
_atom_site_label
_atom_site_type_symbol
_atom_site_fract_x
_atom_site_fract_y
_atom_site_fract_z
Co1 Co 0.000 0.000 0.000
Sb1 Sb 0.000 0.000 0.531
Sb2 Sb 0.500 0.500 0.849
Pb1 Pb 0.500 0.500 0.216